HfCoPd2O after structural relaxation, computed with GGA+U.

```
data_HfCoPd2O
_chemical_formula_sum 'Hf1 Co1 Pd2 O1'
_cell_length_a 4.397
_cell_length_b 4.039
_cell_length_c 4.397
_cell_angle_alpha 90.00
_cell_angle_beta 90.00
_cell_angle_gamma 90.00
_space_group_name_H-M_alt 'P 1'
_space_group_IT_number 1
_space_group_name_Hall 'P 1'
loop_
_atom_site_label
_atom_site_fract_x
_atom_site_fract_y
_atom_site_fract_z
Pd1 0.000 0.000 0.500
O1 0.000 0.000 0.000
Hf1 0.000 0.500 0.000
Pd2 0.500 0.000 0.000
Co1 0.500 0.500 0.500
```

Results
Uncorrected energy   -6.548 eV per atom